Density functional theory data (SCAN) for a PBEsol-optimized structure of K2TaCo.

Properties
magnetic moment = 1.667 μB/atom
energy relative to the lowest polymorph listed for this composition = 798 meV per atom
total energy = -22.900 eV/atom
symmetry = Fm-3m (225)
ΔH_f (0 K) = 2236 meV per atom

abc: 5.4678 5.4678 5.4678
angles: 60.00 60.00 60.00
With the nearest neighbours (Å) after each atom.
Atoms (fractional coordinates):
Co 0.0000 0.0000 0.0000  8 K 3.35
K 0.2500 0.2500 0.2500  4 Ta 3.35, 4 Co 3.35
K 0.7500 0.7500 0.7500  4 Ta 3.35, 4 Co 3.35
Ta 0.5000 0.5000 0.5000  8 K 3.35